[1]
CsSeIN2: single point on PBEsol structure, SCAN.

Calculated values
The raw formation energy comes out at 1282 meV/atom. The symmetry is No. 123. The calculation puts the calculated density at 4.9 Mg/m³. Its magnetic moment is 2.887 μB per formula unit.

Geometry as POSCAR:
```
CsSeIN2
1.0
4.6590 0.0000 0.0000
0.0000 4.6590 0.0000
0.0000 0.0000 5.7200
Cs I Se N
1 1 1 2
direct
0.5000 0.5000 0.5000
0.0000 0.0000 0.5000
0.0000 0.0000 0.0000
0.0000 0.5000 0.0000
0.5000 0.0000 0.0000
```


[2]
CsTaIN2: single point on PBEsol structure, SCAN.

Calculated values
The raw formation energy comes out at 192 meV/atom. The symmetry is No. 123. The calculation puts the calculated density at 7.3 Mg/m³. Its magnetic moment is 0.997 μB per formula unit.

Geometry as POSCAR:
```
CsTaIN2
1.0
-0.2090 -4.3307 0.3158
3.5086 0.0179 2.5666
-3.2994 0.4879 4.5071
Cs I N Ta
1 1 2 1
direct
0.5000 0.5000 0.5000
0.0000 0.0000 0.5000
0.0000 0.5000 0.0000
0.5000 0.0000 0.0000
0.0000 0.0000 0.0000
```


[3]
CsTiI2N: single point on PBEsol structure, SCAN.

Calculated values
The raw formation energy comes out at -797 meV/atom. The symmetry is No. 123. The calculation puts the calculated density at 5.4 Mg/m³. Its magnetic moment is 0.000 μB per formula unit.

Geometry as POSCAR:
```
CsTiI2N
1.0
3.8457 0.0000 0.0000
0.0000 5.9980 0.0000
0.0000 0.0000 5.9980
Cs I N Ti
1 2 1 1
direct
0.5000 0.5000 0.5000
0.0000 0.0000 0.5000
0.0000 0.5000 0.0000
0.5000 0.0000 0.0000
0.0000 0.0000 0.0000
```


[4]
CsYI2N: single point on PBEsol structure, SCAN.

Calculated values
The raw formation energy comes out at 757 meV/atom. The symmetry is No. 123. The calculation puts the calculated density at 4.4 Mg/m³. Its magnetic moment is 0.491 μB per formula unit.

Geometry as POSCAR:
```
CsYI2N
1.0
4.3037 0.0000 0.0000
0.0000 6.5327 0.0000
0.0000 0.0000 6.5327
Cs I Y N
1 2 1 1
direct
0.0000 0.0000 0.0000
0.0000 0.0000 0.5000
0.0000 0.5000 0.0000
0.5000 0.5000 0.5000
0.5000 0.0000 0.0000
```


[5]
CsNa2I: single point on PBEsol structure, SCAN.

Calculated values
The raw formation energy comes out at -546 meV/atom. The symmetry is No. 122. The calculation puts the calculated density at 2.4 Mg/m³. Its magnetic moment is 0.000 μB per formula unit.

Geometry as POSCAR:
```
CsNa2I
1.0
7.2974 0.0000 0.0000
3.6487 7.5991 0.0000
3.6487 0.0000 7.5991
Cs I Na
2 2 4
direct
0.7500 0.5000 0.5000
0.0000 0.0000 0.0000
0.2500 0.5000 0.5000
0.5000 0.0000 0.0000
0.2088 0.9162 0.4162
0.5412 0.0838 0.5838
0.3750 0.4162 0.0838
0.8750 0.5838 0.9162
```


[6]
CsNaIO2: single point on PBEsol structure, SCAN.

Calculated values
The raw formation energy comes out at -454 meV/atom. The symmetry is No. 123. The calculation puts the calculated density at 3.5 Mg/m³. Its magnetic moment is 3.000 μB per formula unit.

Geometry as POSCAR:
```
CsNaIO2
1.0
5.0439 0.0000 0.0000
0.0000 5.0439 0.0000
0.0000 0.0000 5.9212
Cs I O Na
1 1 2 1
direct
0.5000 0.5000 0.5000
0.0000 0.0000 0.5000
0.0000 0.5000 0.0000
0.5000 0.0000 0.0000
0.0000 0.0000 0.0000
```